Record 1
A plane-wave DFT calculation with PBE-GGA was carried out for an optimized crystal structure of CeSm2ErSb5.

VASP energy = -4.784 eV per atom
formation energy without anion corrections = -0.2783 eV per atom
DOS(E_F) = 10.287 states/eV per cell

Cell: 5.2481 5.2481 11.7345 Å, 90.00 90.00 90.00°
With the nearest neighbours (Å) after each atom.
Atoms (fractional coordinates):
Sb: 0.5000 0.5000 0.0000  2 Sm 3.26
Sb: 0.0000 0.0000 0.7512  1 Ce 2.92, 1 Er 2.95
Sb: 0.5000 0.0000 0.5000  2 Er 2.62
Sb: 0.0000 0.0000 0.2488  1 Ce 2.92, 1 Er 2.95
Sb: 0.0000 0.5000 0.5000  2 Er 2.62
Sm: 0.5000 0.5000 0.7223  1 Sb 3.26
Sm: 0.5000 0.5000 0.2777  1 Sb 3.26
Er: 0.0000 0.0000 0.5000  4 Sb 2.62
Ce: 0.0000 0.0000 0.0000  2 Sb 2.92

Record 2
A plane-wave DFT calculation with PBE-GGA was carried out for an optimized crystal structure of Sr3Ce2ErSb6.

VASP energy = -4.831 eV per atom
formation energy without anion corrections = -0.9804 eV per atom
DOS(E_F) = 10.945 states/eV per cell

Cell: 7.9241 7.9241 8.0174 Å, 99.48 99.48 120.03°
With the nearest neighbours (Å) after each atom.
Atoms (fractional coordinates):
Sb: 0.0739 0.4058 0.2224  1 Er 3.12, 2 Ce 3.14, 3 Sr 3.37-3.38
Sb: 0.9261 0.5942 0.7776  1 Er 3.12, 2 Ce 3.14, 3 Sr 3.37-3.38
Sb: 0.7428 0.7428 0.2234  1 Er 3.12, 2 Ce 3.14, 3 Sr 3.37-3.38
Sb: 0.2572 0.2572 0.7766  1 Er 3.12, 2 Ce 3.14, 3 Sr 3.37-3.38
Sb: 0.5942 0.9261 0.7776  1 Er 3.12, 2 Ce 3.14, 3 Sr 3.37-3.38
Sb: 0.4058 0.0739 0.2224  1 Er 3.12, 2 Ce 3.14, 3 Sr 3.37-3.38
Er: 0.0000 0.0000 0.0000  6 Sb 3.12
Ce: 0.6664 0.3336 0.0000  6 Sb 3.14
Ce: 0.3336 0.6664 0.0000  6 Sb 3.14
Sr: 0.5000 0.5000 0.5000  6 Sb 3.37-3.38
Sr: 0.8328 0.1672 0.5000  6 Sb 3.37-3.38
Sr: 0.1672 0.8328 0.5000  6 Sb 3.37-3.38

Record 3
A plane-wave DFT calculation with PBE-GGA was carried out for an optimized crystal structure of TbCe3Er2Sb6.

VASP energy = -5.769 eV per atom
formation energy without anion corrections = -1.0785 eV per atom
DOS(E_F) = 19.872 states/eV per cell

Cell: 7.6855 7.6855 7.6748 Å, 99.61 99.61 119.99°
With the nearest neighbours (Å) after each atom.
Atoms (fractional coordinates):
Sb: 0.5839 0.9190 0.7573  2 Er 3.10, 1 Tb 3.12, 3 Ce 3.16-3.17
Sb: 0.0810 0.4161 0.2427  2 Er 3.10, 1 Tb 3.12, 3 Ce 3.16-3.17
Sb: 0.9190 0.5839 0.7573  2 Er 3.10, 1 Tb 3.12, 3 Ce 3.16-3.17
Sb: 0.2548 0.2548 0.7583  2 Er 3.10, 1 Tb 3.12, 3 Ce 3.16-3.17
Sb: 0.7452 0.7452 0.2417  2 Er 3.10, 1 Tb 3.12, 3 Ce 3.16-3.17
Sb: 0.4161 0.0810 0.2427  2 Er 3.10, 1 Tb 3.12, 3 Ce 3.16-3.17
Er: 0.6670 0.3330 0.0000  6 Sb 3.10
Er: 0.3330 0.6670 0.0000  6 Sb 3.10
Tb: 0.0000 0.0000 0.0000  6 Sb 3.12
Ce: 0.8341 0.1659 0.5000  6 Sb 3.16-3.17
Ce: 0.5000 0.5000 0.5000  6 Sb 3.16-3.17
Ce: 0.1659 0.8341 0.5000  6 Sb 3.16-3.17

Record 4
A plane-wave DFT calculation with PBE-GGA was carried out for an optimized crystal structure of TbCeEr2Sb4.

VASP energy = -5.617 eV per atom
formation energy without anion corrections = -1.0941 eV per atom
DOS(E_F) = 7.393 states/eV per cell

Cell: 4.4020 7.6157 7.6241 Å, 70.59 90.00 90.00°
With the nearest neighbours (Å) after each atom.
Atoms (fractional coordinates):
Er: 0.5000 0.0000 0.5000  6 Sb 3.08
Er: 0.0000 0.0000 0.0000  6 Sb 3.10
Sb: 0.5000 0.7547 0.2501  3 Er 3.08-3.10, 2 Tb 3.13, 1 Ce 3.14
Sb: 0.0000 0.2433 0.2544  3 Er 3.08-3.10, 1 Tb 3.12, 2 Ce 3.15
Sb: 0.5000 0.2453 0.7499  3 Er 3.08-3.10, 2 Tb 3.13, 1 Ce 3.14
Sb: 0.0000 0.7567 0.7456  3 Er 3.08-3.10, 1 Tb 3.12, 2 Ce 3.15
Tb: 0.0000 0.5000 0.5000  6 Sb 3.12-3.13
Ce: 0.5000 0.5000 0.0000  6 Sb 3.14-3.15

Record 5
A plane-wave DFT calculation with PBE-GGA was carried out for an optimized crystal structure of TbCe2ErSb5.

VASP energy = -4.882 eV per atom
formation energy without anion corrections = -0.2514 eV per atom
DOS(E_F) = 16.331 states/eV per cell

Cell: 5.3252 5.3252 11.5329 Å, 90.00 90.00 90.00°
With the nearest neighbours (Å) after each atom.
Atoms (fractional coordinates):
Sb: 0.0000 0.0000 0.7540  1 Er 2.84, 1 Tb 2.93
Sb: 0.5000 0.0000 0.5000  2 Tb 2.66
Sb: 0.0000 0.0000 0.2460  1 Er 2.84, 1 Tb 2.93
Sb: 0.0000 0.5000 0.5000  2 Tb 2.66
Sb: 0.5000 0.5000 0.0000  2 Ce 3.32
Tb: 0.0000 0.0000 0.5000  6 Sb 2.66-2.93
Ce: 0.5000 0.5000 0.7124  5 Sb 3.32-3.62
Ce: 0.5000 0.5000 0.2876  5 Sb 3.32-3.62
Er: 0.0000 0.0000 0.0000  2 Sb 2.84

Record 6
A plane-wave DFT calculation with PBE-GGA was carried out for an optimized crystal structure of Ce2ErThSb5.

VASP energy = -5.227 eV per atom
formation energy without anion corrections = -0.2872 eV per atom
DOS(E_F) = 16.500 states/eV per cell

Cell: 5.2512 5.2512 11.7926 Å, 90.00 90.00 90.00°
With the nearest neighbours (Å) after each atom.
Atoms (fractional coordinates):
Sb: 0.0000 0.0000 0.7493  1 Er 2.94, 1 Th 2.96
Sb: 0.5000 0.0000 0.5000  2 Er 2.63
Sb: 0.0000 0.5000 0.5000  2 Er 2.63
Sb: 0.5000 0.5000 0.0000  2 Ce 3.51, 4 Th 3.71
Sb: 0.0000 0.0000 0.2507  1 Er 2.94, 1 Th 2.96
Ce: 0.5000 0.5000 0.7023  9 Sb 3.51-3.75
Ce: 0.5000 0.5000 0.2977  9 Sb 3.51-3.75
Er: 0.0000 0.0000 0.5000  6 Sb 2.63-2.94
Th: 0.0000 0.0000 0.0000  2 Sb 2.96

Record 7
A plane-wave DFT calculation with PBE-GGA was carried out for an optimized crystal structure of CeErTh2Sb5.

VASP energy = -5.328 eV per atom
formation energy without anion corrections = -0.2231 eV per atom
DOS(E_F) = 8.254 states/eV per cell

Cell: 5.2521 5.2521 11.5871 Å, 90.00 90.00 90.00°
With the nearest neighbours (Å) after each atom.
Atoms (fractional coordinates):
Sb: 0.0000 0.5000 0.5000  2 Er 2.63
Sb: 0.0000 0.0000 0.7494  1 Er 2.89, 1 Ce 2.90
Sb: 0.5000 0.0000 0.5000  2 Er 2.63
Sb: 0.0000 0.0000 0.2506  1 Er 2.89, 1 Ce 2.90
Sb: 0.5000 0.5000 0.0000  2 Th 3.57, 4 Ce 3.71
Ce: 0.0000 0.0000 0.0000  2 Sb 2.90
Er: 0.0000 0.0000 0.5000  6 Sb 2.63-2.89
Th: 0.5000 0.5000 0.3079  9 Sb 3.44-3.77
Th: 0.5000 0.5000 0.6921  9 Sb 3.44-3.77

Record 8
A plane-wave DFT calculation with PBE-GGA was carried out for an optimized crystal structure of CeErTh2Sb4.

VASP energy = -6.221 eV per atom
formation energy without anion corrections = -0.9925 eV per atom
DOS(E_F) = 10.959 states/eV per cell

Cell: 4.4734 7.7467 7.7240 Å, 109.54 90.00 90.00°
With the nearest neighbours (Å) after each atom.
Atoms (fractional coordinates):
Sb: 0.5000 0.7477 0.7554  1 Er 3.11, 2 Ce 3.15, 3 Th 3.17-3.21
Sb: 0.0000 0.7434 0.2418  2 Er 3.11, 1 Ce 3.15, 3 Th 3.17-3.21
Sb: 0.5000 0.2523 0.2446  1 Er 3.11, 2 Ce 3.15, 3 Th 3.17-3.21
Sb: 0.0000 0.2566 0.7582  2 Er 3.11, 1 Ce 3.15, 3 Th 3.17-3.21
Ce: 0.0000 0.0000 0.0000  6 Sb 3.15
Th: 0.5000 0.0000 0.5000  6 Sb 3.21
Th: 0.0000 0.5000 0.5000  6 Sb 3.17
Er: 0.5000 0.5000 0.0000  6 Sb 3.11

Record 9
A plane-wave DFT calculation with PBE-GGA was carried out for an optimized crystal structure of Ce3ErTh4Sb8.

VASP energy = -6.306 eV per atom
formation energy without anion corrections = -0.9924 eV per atom
DOS(E_F) = 26.443 states/eV per cell

Cell: 8.9649 8.9826 8.9793 Å, 120.09 119.95 90.00°
With the nearest neighbours (Å) after each atom.
Atoms (fractional coordinates):
Ce: 0.0000 0.5000 0.5000  6 Sb 3.17
Ce: 0.5000 0.5000 0.0000  6 Sb 3.16
Ce: 0.5000 0.5000 0.5000  6 Sb 3.17
Sb: 0.2464 0.7451 0.9988  1 Er 3.13, 2 Ce 3.16-3.17, 3 Th 3.18-3.22
Sb: 0.7493 0.7483 0.4987  3 Ce 3.16-3.17, 3 Th 3.18
Sb: 0.2476 0.2549 0.0012  1 Er 3.13, 2 Ce 3.16-3.17, 3 Th 3.18-3.22
Sb: 0.7524 0.7451 0.9988  1 Er 3.13, 2 Ce 3.16-3.17, 3 Th 3.18-3.22
Sb: 0.2507 0.2517 0.5013  3 Ce 3.16-3.17, 3 Th 3.18
Sb: 0.7536 0.2549 0.0012  1 Er 3.13, 2 Ce 3.16-3.17, 3 Th 3.18-3.22
Sb: 0.7536 0.2546 0.5072  1 Er 3.13, 2 Ce 3.17, 3 Th 3.18-3.22
Sb: 0.2464 0.7454 0.4928  1 Er 3.13, 2 Ce 3.17, 3 Th 3.18-3.22
Th: 0.5000 0.0000 0.5000  6 Sb 3.18
Th: 0.5000 0.0000 0.0000  6 Sb 3.22
Th: 0.0000 0.0000 0.0000  6 Sb 3.18
Th: 0.0000 0.0000 0.5000  6 Sb 3.18
Er: 0.0000 0.5000 0.0000  6 Sb 3.13

Record 10
A plane-wave DFT calculation with PBE-GGA was carried out for an optimized crystal structure of Ce2ErThSb4.

VASP energy = -6.072 eV per atom
formation energy without anion corrections = -1.0291 eV per atom
DOS(E_F) = 15.622 states/eV per cell

Cell: 4.4691 7.7559 7.7356 Å, 70.58 90.00 90.00°
With the nearest neighbours (Å) after each atom.
Atoms (fractional coordinates):
Ce: 0.0000 0.0000 0.0000  6 Sb 3.21
Ce: 0.5000 0.0000 0.5000  6 Sb 3.15
Sb: 0.0000 0.2523 0.2549  1 Er 3.12, 3 Ce 3.15-3.21, 2 Th 3.17
Sb: 0.5000 0.7438 0.2574  2 Er 3.12, 3 Ce 3.15-3.21, 1 Th 3.17
Sb: 0.0000 0.7477 0.7451  1 Er 3.12, 3 Ce 3.15-3.21, 2 Th 3.17
Sb: 0.5000 0.2562 0.7426  2 Er 3.12, 3 Ce 3.15-3.21, 1 Th 3.17
Er: 0.0000 0.5000 0.5000  6 Sb 3.12
Th: 0.5000 0.5000 0.0000  6 Sb 3.17